Rb2CaLaF6 | Alexandria via LeMat-Bulk | GGA-PBE | relaxed; calculated volume = 21.1 A^3/atom; calculated density = 3648 kg/m³; formation energy from raw total energies = -3.27 eV per atom
1.0
-6.4186 -1.8575 -0.1153
0.4934 -1.2995 -6.5373
-1.6913 -6.0251 -2.3442
Rb Ca La F
2 1 1 6
Cartesian
-2.0801 -4.4514 -6.1040
-5.5365 -4.7306 -2.8927
0.0000 0.0000 0.0000
-2.9626 -1.5785 -3.3263
-1.2074 -1.4369 -4.9570
-6.1586 -8.4049 -7.3598
-2.3169 -3.8361 -2.8275
-6.4091 -7.7452 -4.0397
-1.4580 -0.7771 -1.6369
-5.2997 -5.3459 -6.1693